VASP calculation (PBE) on Zn4GaCu after structural relaxation.

## Properties
energy = -12.13 eV/f.u.
offset from the most stable computed form = 1.1 kJ per mole of atoms
DOS at the Fermi energy = 1.02 states/eV/f.u.

Geometry as CIF:
```
data_Zn4GaCu
_space_group_name_H-M_alt 'P 1 2/c 1'
_space_group_IT_number 13
_cell_length_a 7.4646
_cell_length_b 4.5839
_cell_length_c 5.5647
_cell_angle_alpha 90.00
_cell_angle_beta 106.39
_cell_angle_gamma 90.00
loop_
_space_group_symop_operation_xyz
'x,y,z'
'-x,-y,-z'
'-x,y,-z+1/2'
'x,-y,z+1/2'
loop_
_atom_site_label
_atom_site_type_symbol
_atom_site_fract_x
_atom_site_fract_y
_atom_site_fract_z
Zn1 Zn 0.1468 0.0876 0.4435
Zn2 Zn 0.3115 0.4424 0.1472
Ga1 Ga 0.5000 0.0000 0.0000
Cu1 Cu 0.0000 0.4067 0.7500
```


VASP calculation (PBE) on Zn8GaCu2 after structural relaxation.

## Properties
energy = -20.94 eV/f.u.
DOS at the Fermi energy = 2.15 states/eV/f.u.

Geometry as CIF:
```
data_Zn8GaCu2
_space_group_name_H-M_alt 'C 1 2/m 1'
_space_group_IT_number 12
_cell_length_a 6.8157
_cell_length_b 11.7194
_cell_length_c 4.7049
_cell_angle_alpha 90.00
_cell_angle_beta 115.12
_cell_angle_gamma 90.00
loop_
_space_group_symop_operation_xyz
'x,y,z'
'-x,-y,-z'
'-x,y,-z'
'x,-y,z'
'x+1/2,y+1/2,z'
'-x+1/2,-y+1/2,-z'
'-x+1/2,y+1/2,-z'
'x+1/2,-y+1/2,z'
loop_
_atom_site_label
_atom_site_type_symbol
_atom_site_fract_x
_atom_site_fract_y
_atom_site_fract_z
Zn1 Zn 0.0000 0.2244 0.0000
Zn2 Zn 0.0825 0.5000 0.7919
Zn3 Zn 0.2118 0.1156 0.6527
Ga1 Ga 0.0000 0.0000 0.0000
Cu1 Cu 0.0000 0.3019 0.5000
```


VASP calculation (PBE) on ZnGaCu14 after structural relaxation.

## Properties
energy = -61.97 eV/f.u.
DOS at the Fermi energy = 6.34 states/eV/f.u.

Geometry as CIF:
```
data_ZnGaCu14
_space_group_name_H-M_alt 'A m m 2'
_space_group_IT_number 38
_cell_length_a 8.4597
_cell_length_b 5.2207
_cell_length_c 8.8883
_cell_angle_alpha 90.00
_cell_angle_beta 90.00
_cell_angle_gamma 90.00
loop_
_space_group_symop_operation_xyz
'x,y,z'
'-x,-y,z'
'-x,y,z'
'x,-y,z'
'x,y+1/2,z+1/2'
'-x,-y+1/2,z+1/2'
'-x,y+1/2,z+1/2'
'x,-y+1/2,z+1/2'
loop_
_atom_site_label
_atom_site_type_symbol
_atom_site_fract_x
_atom_site_fract_y
_atom_site_fract_z
Zn1 Zn 0.0000 0.0000 0.0000
Ga1 Ga 0.0000 0.0000 0.5000
Cu1 Cu 0.0000 0.2503 0.2497
Cu2 Cu 0.2535 0.0000 0.3291
Cu3 Cu 0.2543 0.0000 0.8294
Cu4 Cu 0.2544 0.2497 0.0804
Cu5 Cu 0.5000 0.0000 0.1614
Cu6 Cu 0.5000 0.0000 0.6612
Cu7 Cu 0.5000 0.2496 0.4116
```


VASP calculation (PBE) on ZnGa4Cu5 after structural relaxation.

## Properties
energy = -34.17 eV/f.u.
DOS at the Fermi energy = 2.65 states/eV/f.u.

Geometry as CIF:
```
data_ZnGa4Cu5
_space_group_name_H-M_alt 'P m m n'
_space_group_IT_number 59
_cell_length_a 7.8232
_cell_length_b 8.6292
_cell_length_c 4.4214
_cell_angle_alpha 90.00
_cell_angle_beta 90.00
_cell_angle_gamma 90.00
loop_
_space_group_symop_operation_xyz
'x,y,z'
'-x,-y,-z'
'-x+1/2,-y+1/2,z'
'x+1/2,y+1/2,-z'
'x+1/2,-y,-z'
'-x+1/2,y,z'
'-x,y+1/2,-z'
'x,-y+1/2,z'
loop_
_atom_site_label
_atom_site_type_symbol
_atom_site_fract_x
_atom_site_fract_y
_atom_site_fract_z
Zn1 Zn 0.2500 0.2500 0.1938
Ga1 Ga 0.0672 0.7500 0.5659
Ga2 Ga 0.2500 0.0190 0.7602
Cu1 Cu 0.0831 0.9998 0.2530
Cu2 Cu 0.2500 0.7500 0.0706
```